Run one
Entry from Alexandria via LeMat-Bulk: a geometry-optimized CsNd4Te6 structure (PBE).

Output
For the volume, the calculation gives 425.2 Å³/f.u.

a = 8.322 Å, b = 8.322 Å, c = 8.322 Å
α = 95.67°, β = 116.78°, γ = 116.78°
Fractional coordinates of all 11 atoms:
Cs  0.000  0.000  0.000
Te  0.500  0.500  0.000
Te  0.000  0.533  0.840
Te  0.500  0.000  0.500
Te  0.693  0.160  0.160
Nd  0.000  0.591  0.212
Nd  0.379  0.788  0.788
Te  0.307  0.467  0.467
Te  0.000  0.840  0.533
Nd  0.621  0.409  0.409
Nd  0.000  0.212  0.591

---

Run two
Entry from Alexandria via LeMat-Bulk: a geometry-optimized CsNd4Te6 structure (PBE).

Output
For the volume, the calculation gives 419.0 Å³/f.u.

a = 4.581 Å, b = 7.918 Å, c = 24.130 Å
α = 90.00°, β = 90.00°, γ = 106.82°
Fractional coordinates of all 22 atoms:
Nd  0.866  0.733  0.961
Nd  0.134  0.267  0.039
Te  0.357  0.715  0.250
Nd  0.405  0.810  0.129
Te  0.040  0.080  0.152
Te  0.500  0.000  0.500
Te  0.643  0.285  0.750
Te  0.960  0.920  0.848
Nd  0.134  0.267  0.461
Te  0.230  0.460  0.918
Nd  0.595  0.190  0.871
Te  0.770  0.540  0.418
Nd  0.866  0.733  0.539
Te  0.040  0.080  0.348
Te  0.500  0.000  0.000
Cs  0.338  0.675  0.750
Cs  0.662  0.325  0.250
Te  0.770  0.540  0.082
Te  0.230  0.460  0.582
Te  0.960  0.920  0.652
Nd  0.405  0.810  0.371
Nd  0.595  0.190  0.629

---

Which of them is the least stable? Correct choice: run one.